MnBePIrF | PBE+U | optimized geometry

```
10
Lattice="-1.139 -2.746 -0.439 3.771 -1.332 -1.457 2.937 -2.850 10.210" Properties=species:S:1:pos:R:3 pbc="T T T"
P 0.775 -0.752 2.695
P 4.129 -2.844 7.072
Mn 0.792 -2.694 4.513
Mn 4.146 -4.785 8.890
Ir 2.407 -1.172 1.084
Ir 1.990 -1.931 6.917
Be -0.217 -1.715 1.006
Be 3.137 -3.806 5.382
F 2.718 -3.400 3.927
F 2.301 -4.159 9.761
```

Summary:
* symmetry: No. 38
* energy above the most stable polymorph in this dataset: 78 kJ/mol of formula units